# ErTh2CdC PBE optimized geometry
data_ErTh2CdC
_cell_length_a 5.085
_cell_length_b 5.085
_cell_length_c 4.913
_cell_angle_alpha 90.00
_cell_angle_beta 90.00
_cell_angle_gamma 90.00
_symmetry_space_group_name_H-M 'P 4/m m m'
_symmetry_Int_Tables_number 123
_symmetry_space_group_name_Hall '-P 4 2'
loop_
_atom_site_label
_atom_site_type_symbol
_atom_site_fract_x
_atom_site_fract_y
_atom_site_fract_z
Er1 Er 0.000 0.000 0.000
Th1 Th 0.000 0.500 0.500
Cd1 Cd 0.500 0.500 0.000
C1 C 0.000 0.000 0.500
# volume: 127 Å³/cell
# ΔH_f (0 K): -0.25 eV per atom